## MgZn2Tc (GGA-PBEsol)

Data for an optimized crystal structure of MgZn2Tc.

Values from the calculation:
* space-group type: P4/mmm
* E_form: 0.0195 eV/atom
* magnetic moment: 0.0 μB per formula unit

```
MgZn2Tc
1.0
4.046 0.000 0.000
0.000 4.046 0.000
0.000 0.000 3.513
Mg Zn Tc
1 2 1
Direct
0.000 0.000 0.000 Mg
0.000 0.500 0.500 Zn
0.500 0.000 0.500 Zn
0.500 0.500 0.000 Tc
```

## MgZn3Tc (GGA-PBEsol)

Data for an optimized crystal structure of MgZn3Tc.

Values from the calculation:
* space-group type: Pm-3m
* E_form: 0.7000 eV/atom
* magnetic moment: 0.0 μB per formula unit

```
MgZn3Tc
1.0
4.717 0.000 0.000
0.000 4.717 0.000
0.000 0.000 4.717
Mg Zn Tc
1 3 1
Direct
0.000 0.000 0.000 Mg
0.000 0.500 0.500 Zn
0.500 0.000 0.500 Zn
0.500 0.500 0.000 Zn
0.500 0.500 0.500 Tc
```

## MgZnTc (GGA-PBEsol)

Data for an optimized crystal structure of MgZnTc.

Values from the calculation:
* space-group type: I4mm
* E_form: 0.2023 eV/atom
* magnetic moment: 0.0 μB per formula unit

```
MgZnTc
1.0
2.669 0.000 0.000
0.000 2.669 0.000
0.000 0.000 12.756
Mg Zn Tc
2 2 2
Direct
0.000 0.000 0.000 Mg
0.500 0.500 0.500 Mg
0.000 0.000 0.325 Zn
0.500 0.500 0.825 Zn
0.000 0.000 0.670 Tc
0.500 0.500 0.170 Tc
```

## MgZnTc (GGA-PBEsol)

Data for an optimized crystal structure of MgZnTc.

Values from the calculation:
* space-group type: F-43m
* E_form: 1.0717 eV/atom
* magnetic moment: 1.7 μB per formula unit

```
MgZnTc
1.0
5.961 0.000 0.000
0.000 5.961 0.000
0.000 0.000 5.961
Mg Zn Tc
4 4 4
Direct
0.000 0.000 0.000 Mg
0.000 0.500 0.500 Mg
0.500 0.000 0.500 Mg
0.500 0.500 0.000 Mg
0.250 0.250 0.750 Zn
0.250 0.750 0.250 Zn
0.750 0.250 0.250 Zn
0.750 0.750 0.750 Zn
0.250 0.250 0.250 Tc
0.250 0.750 0.750 Tc
0.750 0.250 0.750 Tc
0.750 0.750 0.250 Tc
```

## MgZrTc4 (GGA-PBEsol)

Data for an optimized crystal structure of MgZrTc4.

Values from the calculation:
* space-group type: F-43m
* E_form: -0.0880 eV/atom
* magnetic moment: 0.0 μB per formula unit

```
MgZrTc4
1.0
0.000 3.651 3.651
3.651 0.000 3.651
3.651 3.651 0.000
Mg Zr Tc
1 1 4
Direct
0.000 0.000 0.000 Mg
0.750 0.750 0.750 Zr
0.375 0.375 0.375 Tc
0.375 0.375 0.876 Tc
0.375 0.876 0.375 Tc
0.876 0.375 0.375 Tc
```

## Mg2ZrTc (GGA-PBEsol)

Data for an optimized crystal structure of Mg2ZrTc.

Values from the calculation:
* space-group type: Pmmm
* E_form: 0.1701 eV/atom
* magnetic moment: 0.0 μB per formula unit

```
Mg2ZrTc
1.0
2.796 0.000 0.000
0.000 4.594 0.000
0.000 0.000 5.598
Mg Zr Tc
2 1 1
Direct
0.000 0.000 0.234 Mg
0.000 0.000 0.766 Mg
0.500 0.500 0.500 Zr
0.500 0.500 0.000 Tc
```